{
  "formula": "HoSb2Rh4",
  "functional": "PBE-GGA",
  "state": "relaxed",
  "lattice_angstrom": [[-2.001, 2.001, 8.808], [2.001, -2.001, 8.808], [2.001, 2.001, -8.808]],
  "species": ["Ho", "Sb", "Sb", "Rh", "Rh", "Rh", "Rh"],
  "fractional_positions": [[0.000, 0.000, 0.000], [0.361, 0.361, 0.000], [0.639, 0.639, 0.000], [0.143, 0.143, 0.000], [0.250, 0.750, 0.500], [0.750, 0.250, 0.500], [0.857, 0.857, 0.000]],
  "vol_a3_per_cell": 141.1,
  "e_tot_ev_per_atom": -6.280,
  "sg": "No. 139",
  "magnetic_moment_mub_per_cell": 0.0
}